1.
Density functional theory data (PBE-GGA) for a geometry-optimized Ca2ZnP2Rh5 structure.

Total magnetization: 0.000 μB/f.u.
ΔE_f: -0.76 eV/atom
Symmetry: No. 127
Calculated total energy: -6.05 eV per atom

Cell: 3.3334 9.7842 9.7842 Å, 90.00 90.00 90.00°
Positions (direct):
Rh1 0.5000 0.4305 0.2857
Rh2 0.5000 0.5695 0.7143
Rh3 0.5000 0.2857 0.5695
Rh4 0.5000 0.9305 0.2143
Rh5 0.5000 0.5000 0.0000
Rh6 0.5000 0.0000 0.5000
Rh7 0.5000 0.7143 0.4305
Rh8 0.5000 0.7857 0.9305
Rh9 0.5000 0.0695 0.7857
Rh10 0.5000 0.2143 0.0695
Ca1 0.0000 0.3270 0.8270
Ca2 0.0000 0.6730 0.1730
Ca3 0.0000 0.1730 0.3270
Ca4 0.0000 0.8270 0.6730
P1 0.0000 0.3725 0.1275
P2 0.0000 0.8725 0.3725
P3 0.0000 0.1275 0.6275
P4 0.0000 0.6275 0.8725
Zn1 0.0000 0.0000 0.0000
Zn2 0.0000 0.5000 0.5000


2.
Density functional theory data (PBE-GGA) for a geometry-optimized CaP2Ru structure.

Total magnetization: 0.000 μB/f.u.
ΔE_f: -0.04 eV/atom
ΔE to the lowest computed polymorph: 665.5 meV/atom
Symmetry: No. 123
Calculated total energy: -5.56 eV per atom

Cell: 3.2115 4.5161 4.5161 Å, 90.00 90.00 90.00°
Positions (direct):
P1 0.0000 0.0000 0.0000
P2 0.0000 0.5000 0.5000
Ru1 0.5000 0.5000 0.0000
Ca1 0.5000 0.0000 0.5000


3.
Density functional theory data (PBE-GGA) for a geometry-optimized CaPRu2 structure.

Total magnetization: 0.000 μB/f.u.
ΔE_f: -0.10 eV/atom
Symmetry: No. 71
Calculated total energy: -6.59 eV per atom

Cell: 5.3090 5.3090 5.3090 Å, 147.44 124.73 65.64°
Positions (direct):
Ru1 0.4513 0.4513 0.0000
Ru2 0.0487 0.0487 0.0000
P1 0.2500 0.7500 0.5000
Ca1 0.7500 0.2500 0.5000


4.
Density functional theory data (PBE-GGA) for a geometry-optimized CaPRu2 structure.

Total magnetization: 1.055 μB/f.u.
ΔE_f: -0.19 eV/atom
Symmetry: No. 166
Calculated total energy: -6.68 eV per atom

Cell: 7.1694 7.1694 7.1694 Å, 29.22 29.22 29.22°
Positions (direct):
Ru1 0.4639 0.4639 0.4639
Ru2 0.0361 0.0361 0.0361
P1 0.7500 0.7500 0.7500
Ca1 0.2500 0.2500 0.2500


5.
Density functional theory data (PBE-GGA) for a geometry-optimized CaP3Ru5 structure.

Total magnetization: 0.000 μB/f.u.
ΔE_f: -0.47 eV/atom
Symmetry: No. 63
Calculated total energy: -7.65 eV per atom

Cell: 3.8685 6.4494 11.9699 Å, 90.00 90.00 107.45°
Positions (direct):
Ru1 0.2045 0.4090 0.5725
Ru2 0.0000 0.0000 0.5000
Ru3 0.5557 0.1114 0.6475
Ru4 0.0000 0.0000 0.0000
Ru5 0.4443 0.8886 0.3525
Ru6 0.7955 0.5910 0.0725
Ru7 0.4443 0.8886 0.1475
Ru8 0.7955 0.5910 0.4275
Ru9 0.5557 0.1114 0.8525
Ru10 0.2045 0.4090 0.9275
P1 0.1362 0.2723 0.7500
P2 0.6150 0.2299 0.0459
P3 0.8638 0.7277 0.2500
P4 0.3850 0.7701 0.5459
P5 0.6150 0.2299 0.4541
P6 0.3850 0.7701 0.9541
Ca1 0.1614 0.3229 0.2500
Ca2 0.8386 0.6771 0.7500


6.
Density functional theory data (PBE-GGA) for a geometry-optimized CaPRu2 structure.

Total magnetization: 0.000 μB/f.u.
ΔE_f: -0.13 eV/atom
Symmetry: No. 8
Calculated total energy: -6.62 eV per atom

Cell: 5.0232 5.0232 5.3104 Å, 71.37 71.37 35.08°
Positions (direct):
Ru1 0.9899 0.9899 0.9794
Ru2 0.7226 0.7226 0.8834
P1 0.2851 0.2851 0.1589
Ca1 0.5025 0.5025 0.4783


7.
Density functional theory data (PBE-GGA) for a geometry-optimized CaPRu2 structure.

Total magnetization: 0.000 μB/f.u.
ΔE_f: -0.16 eV/atom
Symmetry: No. 122
Calculated total energy: -6.65 eV per atom

Cell: 7.2117 7.2117 5.8226 Å, 51.74 51.74 90.00°
Positions (direct):
Ru1 0.5284 0.1250 0.2500
Ru2 0.3750 0.4716 0.7500
Ru3 0.2216 0.6250 0.2500
Ru4 0.8750 0.7784 0.7500
Ca1 0.0000 0.0000 0.0000
Ca2 0.7500 0.2500 0.5000
P1 0.5000 0.5000 0.0000
P2 0.2500 0.7500 0.5000


8.
Density functional theory data (PBE-GGA) for a geometry-optimized CaPRu2 structure.

Total magnetization: 0.555 μB/f.u.
ΔE_f: -0.10 eV/atom
Symmetry: No. 99
Calculated total energy: -6.59 eV per atom

Cell: 2.9546 2.9546 7.4784 Å, 90.00 90.00 90.00°
Positions (direct):
Ca1 0.0000 0.0000 0.5112
P1 0.5000 0.5000 0.8058
Ru1 0.5000 0.5000 0.2120
Ru2 0.0000 0.0000 0.9711


9.
Density functional theory data (PBE-GGA) for a geometry-optimized CaP2Ru structure.

Total magnetization: 0.000 μB/f.u.
ΔE_f: -0.44 eV/atom
ΔE to the lowest computed polymorph: 262.2 meV/atom
Symmetry: No. 122
Calculated total energy: -5.97 eV per atom

Cell: 5.9056 5.9056 6.9656 Å, 64.92 64.92 90.00°
Positions (direct):
Ru1 0.0000 0.0000 0.0000
Ru2 0.7500 0.2500 0.5000
P1 0.8750 0.9647 0.7500
P2 0.0353 0.6250 0.2500
P3 0.7147 0.1250 0.2500
P4 0.3750 0.2853 0.7500
Ca1 0.2500 0.7500 0.5000
Ca2 0.5000 0.5000 0.0000


10.
Density functional theory data (PBE-GGA) for a geometry-optimized CaP2Ru structure.

Total magnetization: 0.000 μB/f.u.
ΔE_f: 0.03 eV/atom
ΔE to the lowest computed polymorph: 733.9 meV/atom
Symmetry: No. 119
Calculated total energy: -5.50 eV per atom

Cell: 5.2597 5.2597 5.2597 Å, 137.39 137.39 61.83°
Positions (direct):
Ru1 0.5000 0.5000 0.0000
Ca1 0.7500 0.2500 0.5000
P1 0.2500 0.7500 0.5000
P2 0.0000 0.0000 0.0000


11.
Density functional theory data (PBE-GGA) for a geometry-optimized Ca2PRu2 structure.

Total magnetization: 0.000 μB/f.u.
ΔE_f: -0.12 eV/atom
ΔE to the lowest computed polymorph: 212.1 meV/atom
Symmetry: No. 139
Calculated total energy: -5.71 eV per atom

Cell: 3.4965 3.4965 9.0599 Å, 78.87 78.87 90.00°
Positions (direct):
P1 0.0000 0.0000 0.0000
Ru1 0.7500 0.2500 0.5000
Ru2 0.2500 0.7500 0.5000
Ca1 0.5978 0.5978 0.8044
Ca2 0.4022 0.4022 0.1956


12.
Density functional theory data (PBE-GGA) for a geometry-optimized CaP2Ru structure.

Total magnetization: 0.000 μB/f.u.
ΔE_f: -0.29 eV/atom
ΔE to the lowest computed polymorph: 418.9 meV/atom
Symmetry: No. 225
Calculated total energy: -5.81 eV per atom

Cell: 4.4857 4.4857 4.4857 Å, 60.00 60.00 60.00°
Positions (direct):
Ca1 0.0000 0.0000 0.0000
P1 0.2500 0.2500 0.2500
P2 0.7500 0.7500 0.7500
Ru1 0.5000 0.5000 0.5000